Material: Ac6Nd2Sm
Method: DFT, PBE-GGA
State: relaxed

For the energy of formation from the pure elements, the calculation gives 0.363 eV/atom. The excess energy over the best structure of this formula in the dataset comes out at 220 meV/atom.

The structure belongs to space group R3m (No. 160, hexagonal axes); the cell edges are 7.9456, 7.9456 and 21.6679 Å and the angles 90.00°, 90.00° and 120.00°. Symmetry generates all atoms from Ac at (0.0102, 0.5051, 0.0000), Ac at (0.0317, 0.5158, 0.8033), Nd at (0.0000, 0.0000, 0.8198), Nd at (0.0000, 0.0000, 0.9865) and Sm at (0.0000, 0.0000, 0.5637).

***

Material: Fe2Mo2Rh
Method: DFT, PBE-GGA
State: relaxed

For the energy of formation from the pure elements, the calculation gives 0.058 eV/atom.

The structure belongs to space group P4/mbm (No. 127); the cell edges are 6.8395, 6.8395 and 2.8695 Å and the angles 90.00°, 90.00° and 90.00°. Symmetry generates all atoms from Fe at (0.1301, 0.3699, 0.0000), Mo at (0.1702, 0.6702, 0.5000) and Rh at (0.0000, 0.0000, 0.0000).

***

Number 1: M_tot 0.00 μB/f.u.. Number 2: M_tot 0.00 μB/f.u..